The following is a DFT calculation (PBE) of an optimized crystal structure of NaCuPRu.

Results
ρ in Mg/m³: 4.70
Formation energy from the elements in eV/atom: -0.167

```
data_NaCuPRu
_space_group_name_H-M_alt 'P 4/n m m'
_space_group_IT_number 129
_cell_length_a 3.849
_cell_length_b 3.849
_cell_length_c 10.416
_cell_angle_alpha 90.00
_cell_angle_beta 90.00
_cell_angle_gamma 90.00
loop_
_space_group_symop_operation_xyz
'x,y,z'
'-x,-y,-z'
'-y+1/2,x,z'
'y+1/2,-x,-z'
'-x+1/2,-y+1/2,z'
'x+1/2,y+1/2,-z'
'y,-x+1/2,z'
'-y,x+1/2,-z'
'x+1/2,-y,-z'
'-x+1/2,y,z'
'-y,-x,-z'
'y,x,z'
'-x,y+1/2,-z'
'x,-y+1/2,z'
'y+1/2,x+1/2,-z'
'-y+1/2,-x+1/2,z'
loop_
_atom_site_label
_atom_site_type_symbol
_atom_site_fract_x
_atom_site_fract_y
_atom_site_fract_z
Na1 Na 0.250 0.250 0.236
Cu1 Cu 0.250 0.750 0.000
P1 P 0.250 0.250 0.626
Ru1 Ru 0.250 0.750 0.500
```

---

The following is a DFT calculation (PBE) of an optimized crystal structure of ZrAu2I.

Results
ρ in Mg/m³: 11.23
ΔE_f (raw) in eV per atom: 0.1951
Excess energy over the best structure of this formula in the dataset in meV/atom: 244

```
data_ZrAu2I
_space_group_name_H-M_alt 'F m -3 m'
_space_group_IT_number 225
_space_group_name_Hall '-F 4 2 3'
_cell_length_a 7.126
_cell_length_b 7.126
_cell_length_c 7.126
_cell_angle_alpha 90.00
_cell_angle_beta 90.00
_cell_angle_gamma 90.00
loop_
_atom_site_label
_atom_site_type_symbol
_atom_site_fract_x
_atom_site_fract_y
_atom_site_fract_z
Zr1 Zr 0.000 0.000 0.000
Au1 Au 0.250 0.250 0.250
I1 I 0.000 0.000 0.500
```

---

The following is a DFT calculation (PBE) of an optimized crystal structure of SiNi.

Results
ρ in Mg/m³: 6.01
ΔE_f (raw) in eV per atom: -0.2943

```
data_SiNi
_space_group_name_H-M_alt 'I m m m'
_space_group_IT_number 71
_space_group_name_Hall '-I 2 2'
_cell_length_a 3.275
_cell_length_b 3.746
_cell_length_c 11.733
_cell_angle_alpha 90.00
_cell_angle_beta 90.00
_cell_angle_gamma 90.00
loop_
_atom_site_label
_atom_site_type_symbol
_atom_site_fract_x
_atom_site_fract_y
_atom_site_fract_z
Si1 Si 0.000 0.000 0.000
Si2 Si 0.000 0.500 0.162
Ni1 Ni 0.000 0.000 0.500
Ni2 Ni 0.000 0.500 0.359
```